Record 1
# KGdCdO3

An optimized crystal structure of KGdCdO3 (PBE, the Open Quantum Materials Database).

```
12
Lattice="1.8131 -6.4812 0.0000 1.8131 6.4812 0.0000 0.0000 0.0000 9.2067" Properties=species:S:1:pos:R:3 pbc="T T T"
K 1.8131 4.1236 6.9050
K 1.8131 -4.1236 2.3017
Gd 1.8131 0.0000 0.0000
Gd 1.8131 0.0000 4.6034
Cd 1.8131 5.2276 2.3017
Cd 1.8131 -5.2276 6.9050
O 1.8131 5.0146 0.2257
O 1.8131 5.0146 4.3777
O 1.8131 0.2968 2.3017
O 1.8131 -0.2968 6.9050
O 1.8131 -5.0146 4.8290
O 1.8131 -5.0146 8.9811
```

Calculated values
Crystal system: orthorhombic
DFT total energy: -67.1 eV per cell


Record 2
# KGdCdTe3

An optimized crystal structure of KGdCdTe3 (PBE, the Open Quantum Materials Database).

```
12
Lattice="9.7583 -2.2528 0.0000 9.7583 2.2528 0.0000 -2.3127 0.0000 9.5083" Properties=species:S:1:pos:R:3 pbc="T T T"
K 2.5640 0.0000 0.6456
K 14.6400 0.0000 8.8627
Gd 2.0788 0.0000 5.5816
Gd 15.1252 0.0000 3.9267
Cd 8.7423 0.0000 2.6660
Cd 8.4617 0.0000 6.8423
Te -1.1563 0.0000 4.7541
Te 5.9384 0.0000 1.8770
Te 5.1059 0.0000 6.0546
Te 9.7583 0.0000 0.0000
Te 12.0981 0.0000 3.4537
Te 11.2656 0.0000 7.6313
```

Calculated values
Crystal system: monoclinic
DFT total energy: -43.8 eV per cell


Record 3
# KGdCdTe3

An optimized crystal structure of KGdCdTe3 (PBE, the Open Quantum Materials Database).

```
12
Lattice="9.3137 0.0000 0.0000 0.0000 4.5180 0.0000 -3.3124 0.0000 10.4302" Properties=species:S:1:pos:R:3 pbc="T T T"
K 1.2745 1.1295 2.7138
K 4.7267 3.3885 7.7165
Gd 0.1167 3.3885 9.0173
Gd 5.8845 1.1295 1.4129
Cd -1.2611 1.1295 6.3628
Cd 7.2623 3.3885 4.0675
Te -2.0750 1.1295 9.0471
Te 0.4236 3.3885 5.7160
Te 3.7499 3.3885 1.6221
Te 2.2514 1.1295 8.8081
Te 5.5776 1.1295 4.7142
Te 8.0763 3.3885 1.3831
```

Calculated values
Crystal system: monoclinic
DFT total energy: -44.9 eV per cell


Record 4
# LaGd2Mg3Tl2Cd

An optimized crystal structure of LaGd2Mg3Tl2Cd (PBE, the Open Quantum Materials Database).

```
9
Lattice="4.7163 0.0000 0.0000 0.0000 6.7047 3.8046 0.0000 -6.7047 3.8046" Properties=species:S:1:pos:R:3 pbc="T T T"
La 0.0000 0.0000 0.0000
Gd 0.0000 -2.8366 4.8283
Gd 0.0000 2.8366 4.8283
Mg 2.3581 -1.6053 2.3347
Mg 2.3581 1.6053 2.3347
Mg 2.3581 0.0000 5.0522
Tl 2.3581 -4.4143 3.2184
Tl 2.3581 4.4143 3.2184
Cd 0.0000 0.0000 3.3038
```

Calculated values
Crystal system: orthorhombic
DFT total energy: -27.6 eV per cell


Record 5
# La2GdMg3Tl2Cd

An optimized crystal structure of La2GdMg3Tl2Cd (PBE, the Open Quantum Materials Database).

```
9
Lattice="4.7743 0.0000 0.0000 0.0000 6.6675 3.9000 0.0000 -6.6675 3.9000" Properties=species:S:1:pos:R:3 pbc="T T T"
La 0.0000 -3.8512 3.9000
La 0.0000 3.8512 3.9000
Gd 0.0000 0.0000 4.9388
Mg 2.3871 -1.5797 2.5971
Mg 2.3871 1.5797 2.5971
Mg 2.3871 0.0000 7.5973
Tl 2.3871 -2.1624 5.5436
Tl 2.3871 2.1624 5.5436
Cd 0.0000 0.0000 1.7172
```

Calculated values
Crystal system: orthorhombic
DFT total energy: -27.9 eV per cell


Record 6
# LiGdCdO3

An optimized crystal structure of LiGdCdO3 (PBE, the Open Quantum Materials Database).

```
12
Lattice="1.6674 -7.1109 0.0000 1.6674 7.1109 0.0000 0.0000 0.0000 6.3095" Properties=species:S:1:pos:R:3 pbc="T T T"
Li 1.6674 5.0202 4.7321
Li 1.6674 -5.0202 1.5774
Gd 1.6674 0.0000 0.0000
Gd 1.6674 0.0000 3.1547
Cd 1.6674 4.2279 1.5774
Cd 1.6674 -4.2279 4.7321
O 1.6674 7.0355 4.7321
O 1.6674 2.2510 0.0794
O 1.6674 2.2510 3.0753
O 1.6674 -2.2510 3.2342
O 1.6674 -2.2510 6.2301
O 1.6674 -7.0355 1.5774
```

Calculated values
Crystal system: orthorhombic
DFT total energy: -69.5 eV per cell